Arrangement P

# PmSmPdAu PBE relaxed
# Crystal system: cubic
# DOS(E_F), states/eV per atom: 0.67
# Total moment, μB/cell: 0.00
# Calculated volume, Å³/cell: 386
data_PmSmPdAu
_cell_length_a 7.2802
_cell_length_b 7.2802
_cell_length_c 7.2802
_cell_angle_alpha 90.00
_cell_angle_beta 90.00
_cell_angle_gamma 90.00
_space_group_name_H-M_alt 'F -4 3 m'
_space_group_IT_number 216
_space_group_name_Hall 'F -4 2 3'
loop_
_atom_site_label
_atom_site_type_symbol
_atom_site_fract_x
_atom_site_fract_y
_atom_site_fract_z
Pm1 Pm 0.0000 0.0000 0.0000
Sm1 Sm 0.0000 0.0000 0.5000
Pd1 Pd 0.2500 0.2500 0.7500
Au1 Au 0.2500 0.2500 0.2500

***

Arrangement Q

# PmSmPdAu PBE relaxed
# Crystal system: orthorhombic
# DOS(E_F), states/eV per atom: 0.67
# Total moment, μB/cell: 0.00
# Calculated volume, Å³/cell: 200
data_PmSmPdAu
_cell_length_a 4.7279
_cell_length_b 3.8689
_cell_length_c 10.9095
_cell_angle_alpha 90.00
_cell_angle_beta 90.00
_cell_angle_gamma 90.00
_space_group_name_H-M_alt 'A m m 2'
_space_group_IT_number 38
_space_group_name_Hall 'A 2 -2'
loop_
_atom_site_label
_atom_site_type_symbol
_atom_site_fract_x
_atom_site_fract_y
_atom_site_fract_z
Pm1 Pm 0.0000 0.0000 0.0000
Sm1 Sm 0.5000 0.0000 0.7247
Pd1 Pd 0.0000 0.0000 0.2754
Au1 Au 0.5000 0.0000 0.4456

***

Which of them is the most stable, and which is the least stable? arrangement Q and arrangement P, in that order.

***

Arrangement P

# PmTmPdAu PBE relaxed
# Crystal system: orthorhombic
# DOS(E_F), states/eV per atom: 0.50
# Total moment, μB/cell: 0.00
# Calculated volume, Å³/cell: 190
data_PmTmPdAu
_cell_length_a 4.7239
_cell_length_b 3.7767
_cell_length_c 10.6625
_cell_angle_alpha 90.00
_cell_angle_beta 90.00
_cell_angle_gamma 90.00
_space_group_name_H-M_alt 'A m m 2'
_space_group_IT_number 38
_space_group_name_Hall 'A 2 -2'
loop_
_atom_site_label
_atom_site_type_symbol
_atom_site_fract_x
_atom_site_fract_y
_atom_site_fract_z
Pm1 Pm 0.0000 0.0000 0.0000
Tm1 Tm 0.5000 0.0000 0.7238
Pd1 Pd 0.0000 0.0000 0.2722
Au1 Au 0.5000 0.0000 0.4431

***

Arrangement Q

# PmTmPdAu PBE relaxed
# Crystal system: cubic
# DOS(E_F), states/eV per atom: 0.73
# Total moment, μB/cell: 0.00
# Calculated volume, Å³/cell: 368
data_PmTmPdAu
_cell_length_a 7.1634
_cell_length_b 7.1634
_cell_length_c 7.1634
_cell_angle_alpha 90.00
_cell_angle_beta 90.00
_cell_angle_gamma 90.00
_space_group_name_H-M_alt 'F -4 3 m'
_space_group_IT_number 216
_space_group_name_Hall 'F -4 2 3'
loop_
_atom_site_label
_atom_site_type_symbol
_atom_site_fract_x
_atom_site_fract_y
_atom_site_fract_z
Pm1 Pm 0.0000 0.0000 0.0000
Tm1 Tm 0.0000 0.0000 0.5000
Pd1 Pd 0.2500 0.2500 0.7500
Au1 Au 0.2500 0.2500 0.2500

***

Which of them is the most stable, and which is the least stable? arrangement P and arrangement Q, in that order.

***

Arrangement P

# Pr2Pd6Au PBE relaxed
# Crystal system: trigonal
# DOS(E_F), states/eV per atom: 0.41
# Total moment, μB/cell: 0.00
# Calculated volume, Å³/cell: 179
data_Pr2Pd6Au
_cell_length_a 5.7532
_cell_length_b 5.7532
_cell_length_c 6.2280
_cell_angle_alpha 90.00
_cell_angle_beta 90.00
_cell_angle_gamma 120.00
_space_group_name_H-M_alt 'P -3 m 1'
_space_group_IT_number 164
_space_group_name_Hall '-P 3 2"'
loop_
_atom_site_label
_atom_site_type_symbol
_atom_site_fract_x
_atom_site_fract_y
_atom_site_fract_z
Pr1 Pr 0.3333 0.6667 0.1728
Pd1 Pd 0.1750 0.3500 0.6718
Au1 Au 0.0000 0.0000 0.0000

***

Arrangement Q

# Pr2Pd6Au PBE relaxed
# Crystal system: monoclinic
# DOS(E_F), states/eV per atom: 0.43
# Total moment, μB/cell: 0.00
# Calculated volume, Å³/cell: 354
data_Pr2Pd6Au
_cell_length_a 9.9760
_cell_length_b 4.4650
_cell_length_c 8.4481
_cell_angle_alpha 90.00
_cell_angle_beta 109.65
_cell_angle_gamma 90.00
_space_group_name_H-M_alt 'C 1 2/m 1'
_space_group_IT_number 12
_space_group_name_Hall '-C 2y'
loop_
_atom_site_label
_atom_site_type_symbol
_atom_site_fract_x
_atom_site_fract_y
_atom_site_fract_z
Pr1 Pr 0.0173 0.0000 0.2769
Pd1 Pd 0.1455 0.5000 0.5525
Pd2 Pd 0.2277 0.0000 0.0772
Pd3 Pd 0.2322 0.5000 0.2781
Au1 Au 0.0000 0.5000 0.0000

***

Which of them is the most stable, and which is the least stable? arrangement P and arrangement Q, in that order.

***

Arrangement P

# Pr2Pd3Au2 PBE relaxed
# Crystal system: monoclinic
# DOS(E_F), states/eV per atom: 0.46
# Total moment, μB/cell: 0.00
# Calculated volume, Å³/cell: 311
data_Pr2Pd3Au2
_cell_length_a 10.0345
_cell_length_b 4.2091
_cell_length_c 8.4623
_cell_angle_alpha 90.00
_cell_angle_beta 119.56
_cell_angle_gamma 90.00
_space_group_name_H-M_alt 'C 1 2/m 1'
_space_group_IT_number 12
_space_group_name_Hall '-C 2y'
loop_
_atom_site_label
_atom_site_type_symbol
_atom_site_fract_x
_atom_site_fract_y
_atom_site_fract_z
Pr1 Pr 0.1986 0.0000 0.2766
Pd1 Pd 0.0000 0.5000 0.0000
Pd2 Pd 0.0220 0.5000 0.3498
Au1 Au 0.1578 0.0000 0.8830

***

Arrangement Q

# Pr2Pd3Au2 PBE relaxed
# Crystal system: cubic
# DOS(E_F), states/eV per atom: 0.59
# Total moment, μB/cell: 0.00
# Calculated volume, Å³/cell: 601
data_Pr2Pd3Au2
_cell_length_a 8.4402
_cell_length_b 8.4402
_cell_length_c 8.4402
_cell_angle_alpha 90.00
_cell_angle_beta 90.00
_cell_angle_gamma 90.00
_space_group_name_H-M_alt 'I 21 3'
_space_group_IT_number 199
_space_group_name_Hall 'I 2b 2c 3'
loop_
_atom_site_label
_atom_site_type_symbol
_atom_site_fract_x
_atom_site_fract_y
_atom_site_fract_z
Pr1 Pr 0.1844 0.3156 0.6844
Pd1 Pd 0.0000 0.2500 0.2713
Au1 Au 0.0202 0.0202 0.0202

***

Which of them is the most stable, and which is the least stable? arrangement P and arrangement Q, in that order.

***

Arrangement P

# Pr8PdAu2 PBE relaxed
# Crystal system: monoclinic
# DOS(E_F), states/eV per atom: 0.96
# Total moment, μB/cell: 0.00
# Calculated volume, Å³/cell: 673
data_Pr8PdAu2
_cell_length_a 18.4498
_cell_length_b 5.2239
_cell_length_c 7.1141
_cell_angle_alpha 90.00
_cell_angle_beta 101.03
_cell_angle_gamma 90.00
_space_group_name_H-M_alt 'C 1 2/m 1'
_space_group_IT_number 12
_space_group_name_Hall '-C 2y'
loop_
_atom_site_label
_atom_site_type_symbol
_atom_site_fract_x
_atom_site_fract_y
_atom_site_fract_z
Pr1 Pr 0.0264 0.0000 0.2756
Pr2 Pr 0.0885 0.5000 0.9514
Pr3 Pr 0.1624 0.5000 0.4743
Pr4 Pr 0.2013 0.0000 0.8343
Pd1 Pd 0.0000 0.5000 0.5000
Au1 Au 0.1897 0.0000 0.2475

***

Arrangement Q

# Pr8PdAu2 PBE relaxed
# Crystal system: monoclinic
# DOS(E_F), states/eV per atom: 1.43
# Total moment, μB/cell: 0.00
# Calculated volume, Å³/cell: 705
data_Pr8PdAu2
_cell_length_a 8.8076
_cell_length_b 13.8966
_cell_length_c 6.2240
_cell_angle_alpha 90.00
_cell_angle_beta 112.36
_cell_angle_gamma 90.00
_space_group_name_H-M_alt 'C 1 m 1'
_space_group_IT_number 8
_space_group_name_Hall 'C -2y'
loop_
_atom_site_label
_atom_site_type_symbol
_atom_site_fract_x
_atom_site_fract_y
_atom_site_fract_z
Pr1 Pr 0.0000 0.0000 0.0000
Pr2 Pr 0.0868 0.3741 0.8099
Pr3 Pr 0.1397 0.1253 0.5578
Pr4 Pr 0.2337 0.5000 0.3871
Pr5 Pr 0.3612 0.2003 0.1899
Pd1 Pd 0.3761 0.0000 0.3855
Au1 Au 0.3663 0.3031 0.6945

***

Which of them is the most stable, and which is the least stable? arrangement P and arrangement Q, in that order.

***

Arrangement P

# PrPdAu2 PBE relaxed
# Crystal system: monoclinic
# DOS(E_F), states/eV per atom: 0.51
# Total moment, μB/cell: 0.00
# Calculated volume, Å³/cell: 171
data_PrPdAu2
_cell_length_a 4.3924
_cell_length_b 7.6415
_cell_length_c 5.5553
_cell_angle_alpha 90.00
_cell_angle_beta 113.11
_cell_angle_gamma 90.00
_space_group_name_H-M_alt 'P 1 21/m 1'
_space_group_IT_number 11
_space_group_name_Hall '-P 2yb'
loop_
_atom_site_label
_atom_site_type_symbol
_atom_site_fract_x
_atom_site_fract_y
_atom_site_fract_z
Pr1 Pr 0.0769 0.2500 0.1527
Pd1 Pd 0.2151 0.7500 0.4347
Au1 Au 0.3702 0.0556 0.7373

***

Arrangement Q

# PrPdAu2 PBE relaxed
# Crystal system: tetragonal
# DOS(E_F), states/eV per atom: 0.69
# Total moment, μB/cell: 0.00
# Calculated volume, Å³/cell: 84
data_PrPdAu2
_cell_length_a 4.4508
_cell_length_b 4.4508
_cell_length_c 4.2551
_cell_angle_alpha 90.00
_cell_angle_beta 90.00
_cell_angle_gamma 90.00
_space_group_name_H-M_alt 'P 4/m m m'
_space_group_IT_number 123
_space_group_name_Hall '-P 4 2'
loop_
_atom_site_label
_atom_site_type_symbol
_atom_site_fract_x
_atom_site_fract_y
_atom_site_fract_z
Pr1 Pr 0.0000 0.0000 0.0000
Pd1 Pd 0.5000 0.5000 0.0000
Au1 Au 0.0000 0.5000 0.5000

***

Which of them is the most stable, and which is the least stable? arrangement P and arrangement Q, in that order.

***

Arrangement P

# PrPdAu2 PBE relaxed
# Crystal system: trigonal
# DOS(E_F), states/eV per atom: 0.46
# Total moment, μB/cell: 0.00
# Calculated volume, Å³/cell: 266
data_PrPdAu2
_cell_length_a 4.6861
_cell_length_b 4.6861
_cell_length_c 13.9765
_cell_angle_alpha 90.00
_cell_angle_beta 90.00
_cell_angle_gamma 120.00
_space_group_name_H-M_alt 'R -3 m'
_space_group_IT_number 166
_space_group_name_Hall '-R 3 2"'
loop_
_atom_site_label
_atom_site_type_symbol
_atom_site_fract_x
_atom_site_fract_y
_atom_site_fract_z
Pr1 Pr 0.0000 0.0000 0.0000
Pd1 Pd 0.0000 0.0000 0.5000
Au1 Au 0.0000 0.0000 0.2216

***

Arrangement Q

# PrPdAu2 PBE relaxed
# Crystal system: orthorhombic
# DOS(E_F), states/eV per atom: 0.39
# Total moment, μB/cell: 0.00
# Calculated volume, Å³/cell: 687
data_PrPdAu2
_cell_length_a 15.9658
_cell_length_b 7.8210
_cell_length_c 5.5006
_cell_angle_alpha 90.00
_cell_angle_beta 90.00
_cell_angle_gamma 90.00
_space_group_name_H-M_alt 'P n m a'
_space_group_IT_number 62
_space_group_name_Hall '-P 2ac 2n'
loop_
_atom_site_label
_atom_site_type_symbol
_atom_site_fract_x
_atom_site_fract_y
_atom_site_fract_z
Pr1 Pr 0.1045 0.2500 0.2261
Pr2 Pr 0.1426 0.7500 0.4614
Pd1 Pd 0.0709 0.7500 0.9671
Pd2 Pd 0.1790 0.2500 0.7209
Au1 Au 0.0318 0.0562 0.7264
Au2 Au 0.2173 0.5541 0.9403

***

Which of them is the most stable, and which is the least stable? arrangement Q and arrangement P, in that order.

***

Arrangement P

# Pr4PdAu PBE relaxed
# Crystal system: tetragonal
# DOS(E_F), states/eV per atom: 1.52
# Total moment, μB/cell: 0.00
# Calculated volume, Å³/cell: 862
data_Pr4PdAu
_cell_length_a 9.8716
_cell_length_b 9.8716
_cell_length_c 8.8424
_cell_angle_alpha 90.00
_cell_angle_beta 90.00
_cell_angle_gamma 90.00
_space_group_name_H-M_alt 'I 41 m d'
_space_group_IT_number 109
_space_group_name_Hall 'I 4bw -2'
loop_
_atom_site_label
_atom_site_type_symbol
_atom_site_fract_x
_atom_site_fract_y
_atom_site_fract_z
Pr1 Pr 0.0000 0.1986 0.0000
Pr2 Pr 0.0000 0.1999 0.4825
Pd1 Pd 0.0000 0.0000 0.2417
Au1 Au 0.0000 0.0000 0.7415

***

Arrangement Q

# Pr4PdAu PBE relaxed
# Crystal system: tetragonal
# DOS(E_F), states/eV per atom: 1.32
# Total moment, μB/cell: 0.00
# Calculated volume, Å³/cell: 351
data_Pr4PdAu
_cell_length_a 7.2744
_cell_length_b 7.2744
_cell_length_c 6.6368
_cell_angle_alpha 90.00
_cell_angle_beta 90.00
_cell_angle_gamma 90.00
_space_group_name_H-M_alt 'P 4/m c c'
_space_group_IT_number 124
_space_group_name_Hall '-P 4 2c'
loop_
_atom_site_label
_atom_site_type_symbol
_atom_site_fract_x
_atom_site_fract_y
_atom_site_fract_z
Pr1 Pr 0.1695 0.3228 0.0000
Pd1 Pd 0.0000 0.0000 0.2500
Au1 Au 0.5000 0.5000 0.2500

***

Which of them is the most stable, and which is the least stable? arrangement Q and arrangement P, in that order.

***

Arrangement P

# Pr3Pd2Au4 PBE relaxed
# Crystal system: monoclinic
# DOS(E_F), states/eV per atom: 0.52
# Total moment, μB/cell: 0.00
# Calculated volume, Å³/cell: 422
data_Pr3Pd2Au4
_cell_length_a 11.2763
_cell_length_b 4.3571
_cell_length_c 9.6126
_cell_angle_alpha 90.00
_cell_angle_beta 116.81
_cell_angle_gamma 90.00
_space_group_name_H-M_alt 'C 1 2/m 1'
_space_group_IT_number 12
_space_group_name_Hall '-C 2y'
loop_
_atom_site_label
_atom_site_type_symbol
_atom_site_fract_x
_atom_site_fract_y
_atom_site_fract_z
Pr1 Pr 0.0000 0.0000 0.0000
Pr2 Pr 0.1825 0.5000 0.6371
Pd1 Pd 0.1007 0.5000 0.2581
Au1 Au 0.0236 0.0000 0.3674
Au2 Au 0.2406 0.5000 0.0876

***

Arrangement Q

# Pr3Pd2Au4 PBE relaxed
# Crystal system: monoclinic
# DOS(E_F), states/eV per atom: 0.58
# Total moment, μB/cell: 0.00
# Calculated volume, Å³/cell: 417
data_Pr3Pd2Au4
_cell_length_a 9.9407
_cell_length_b 4.9141
_cell_length_c 8.8433
_cell_angle_alpha 90.00
_cell_angle_beta 105.32
_cell_angle_gamma 90.00
_space_group_name_H-M_alt 'C 1 2/m 1'
_space_group_IT_number 12
_space_group_name_Hall '-C 2y'
loop_
_atom_site_label
_atom_site_type_symbol
_atom_site_fract_x
_atom_site_fract_y
_atom_site_fract_z
Pr1 Pr 0.0000 0.0000 0.0000
Pr2 Pr 0.1405 0.5000 0.7015
Pd1 Pd 0.1987 0.5000 0.3866
Au1 Au 0.0563 0.0000 0.3631
Au2 Au 0.2078 0.5000 0.0723

***

Which of them is the most stable, and which is the least stable? arrangement P and arrangement Q, in that order.

***

Arrangement P

# Pr3Pd2Au3 PBE relaxed
# Crystal system: monoclinic
# DOS(E_F), states/eV per atom: 0.53
# Total moment, μB/cell: 0.00
# Calculated volume, Å³/cell: 378
data_Pr3Pd2Au3
_cell_length_a 18.5650
_cell_length_b 4.0486
_cell_length_c 5.1008
_cell_angle_alpha 90.00
_cell_angle_beta 99.62
_cell_angle_gamma 90.00
_space_group_name_H-M_alt 'C 1 2/m 1'
_space_group_IT_number 12
_space_group_name_Hall '-C 2y'
loop_
_atom_site_label
_atom_site_type_symbol
_atom_site_fract_x
_atom_site_fract_y
_atom_site_fract_z
Pr1 Pr 0.0000 0.0000 0.0000
Pr2 Pr 0.1492 0.0000 0.5996
Pd1 Pd 0.2383 0.0000 0.1741
Au1 Au 0.0000 0.5000 0.5000
Au2 Au 0.1294 0.5000 0.0902

***

Arrangement Q

# Pr3Pd2Au3 PBE relaxed
# Crystal system: orthorhombic
# DOS(E_F), states/eV per atom: 0.60
# Total moment, μB/cell: 0.00
# Calculated volume, Å³/cell: 758
data_Pr3Pd2Au3
_cell_length_a 7.6742
_cell_length_b 17.3300
_cell_length_c 5.6958
_cell_angle_alpha 90.00
_cell_angle_beta 90.00
_cell_angle_gamma 90.00
_space_group_name_H-M_alt 'P n m a'
_space_group_IT_number 62
_space_group_name_Hall '-P 2ac 2n'
loop_
_atom_site_label
_atom_site_type_symbol
_atom_site_fract_x
_atom_site_fract_y
_atom_site_fract_z
Pr1 Pr 0.0332 0.1042 0.1279
Pr2 Pr 0.1620 0.2500 0.6420
Pd1 Pd 0.1157 0.6219 0.3688
Au1 Au 0.1837 0.0280 0.5867
Au2 Au 0.1901 0.7500 0.6571

***

Which of them is the most stable, and which is the least stable? arrangement Q and arrangement P, in that order.

***

Arrangement P

# PrPd2Au4 PBE relaxed
# Crystal system: tetragonal
# DOS(E_F), states/eV per atom: 0.56
# Total moment, μB/cell: 0.00
# Calculated volume, Å³/cell: 370
data_PrPd2Au4
_cell_length_a 8.4209
_cell_length_b 8.4209
_cell_length_c 5.2229
_cell_angle_alpha 90.00
_cell_angle_beta 90.00
_cell_angle_gamma 90.00
_space_group_name_H-M_alt 'I 4/m m m'
_space_group_IT_number 139
_space_group_name_Hall '-I 4 2'
loop_
_atom_site_label
_atom_site_type_symbol
_atom_site_fract_x
_atom_site_fract_y
_atom_site_fract_z
Pr1 Pr 0.0000 0.0000 0.0000
Pd1 Pd 0.0000 0.5000 0.2500
Au1 Au 0.0000 0.2268 0.5000

***

Arrangement Q

# PrPd2Au4 PBE relaxed
# Crystal system: monoclinic
# DOS(E_F), states/eV per atom: 0.33
# Total moment, μB/cell: 0.00
# Calculated volume, Å³/cell: 272
data_PrPd2Au4
_cell_length_a 8.9083
_cell_length_b 7.0800
_cell_length_c 5.4383
_cell_angle_alpha 90.00
_cell_angle_beta 127.44
_cell_angle_gamma 90.00
_space_group_name_H-M_alt 'C 1 2/m 1'
_space_group_IT_number 12
_space_group_name_Hall '-C 2y'
loop_
_atom_site_label
_atom_site_type_symbol
_atom_site_fract_x
_atom_site_fract_y
_atom_site_fract_z
Pr1 Pr 0.0000 0.0000 0.0000
Pd1 Pd 0.0006 0.5000 0.7505
Au1 Au 0.1977 0.1975 0.6976

***

Which of them is the most stable, and which is the least stable? arrangement Q and arrangement P, in that order.